Density functional theory data (PBE) for a geometry-optimized Ce2HgH structure.

```
4
Lattice="3.270 0.000 0.000 0.000 3.270 0.000 0.000 0.000 7.479" Properties=species:S:1:pos:R:3 pbc="T T T"
Ce 0.000 0.000 1.350
Ce 0.000 0.000 6.129
Hg 1.635 1.635 3.739
H 1.635 1.635 0.000
```

Summary:
The calculation puts the energy above the most stable polymorph in this dataset at 132 meV per atom. The space group is P4/mmm, No. 123.